First-principles (PBE) data for crystalline Ba3PBr at its relaxed geometry, as listed in Alexandria via LeMat-Bulk.

The structure in POSCAR format:
```
Ba3PBr
1.0
-4.721 0.281 -4.124
0.527 -6.168 -1.024
-4.100 -1.117 4.617
Ba P Br
3 1 1
direct
0.000 0.000 0.500
0.000 0.500 0.000
0.500 0.000 0.000
0.000 0.000 0.000
0.500 0.500 0.500
```

Properties
The calculation puts the electronic total energy at -3.395 eV/atom. The density of states at the Fermi level comes out at 5.83 states/eV per cell. As for the energy above the lowest structure with this stoichiometry: 0.000 eV per atom. As for the space group: Pm-3m (221). Its formation energy (no corrections) is -4.12 eV/f.u.


First-principles (PBE) data for crystalline Ba2PBr at its relaxed geometry, as listed in Alexandria via LeMat-Bulk.

The structure in POSCAR format:
```
Ba2PBr
1.0
-2.068 3.899 -3.469
-5.309 -0.365 -1.787
-3.842 3.650 1.851
Ba P Br
2 1 1
direct
0.250 0.250 0.250
0.000 0.000 0.000
0.750 0.750 0.750
0.500 0.500 0.500
```

Properties
The calculation puts the electronic total energy at -3.357 eV/atom. The density of states at the Fermi level comes out at 0.02 states/eV per cell. As for the space group: F-43m (216). Its formation energy (no corrections) is -2.50 eV/f.u.


First-principles (PBE) data for crystalline Ba6P3Br2 at its relaxed geometry, as listed in Alexandria via LeMat-Bulk.

The structure in POSCAR format:
```
Ba6P3Br2
1.0
-7.380 3.272 1.281
-3.902 -1.352 7.053
0.932 7.530 3.540
Ba P Br
6 3 2
direct
0.405 0.666 0.787
0.070 0.334 0.787
0.930 0.666 0.213
0.262 0.000 0.213
0.595 0.334 0.213
0.738 0.000 0.787
0.000 0.000 0.000
0.667 0.666 0.000
0.333 0.334 0.000
0.167 0.667 0.500
0.833 0.333 0.500
```

Properties
The calculation puts the electronic total energy at -4.186 eV/atom. The density of states at the Fermi level comes out at 2.60 states/eV per cell. As for the space group: C2/m (12). Its formation energy (no corrections) is -14.94 eV/f.u.


- Which value of density of states at the Fermi level does entry 1 give?
  5.83 states/eV per cell


- Which of these has the highest electronic total energy?
  Ba2PBr